# NdHoPt (PBE, relaxed)
# Crystal system: trigonal
# Total magnetic moment (μB/f.u.): 0.000
# Excess energy over the best structure of this formula in the dataset (kJ per mole of atoms): 19.9
# E_tot (Ha/atom): -0.213
# Energy relative to the elements (eV per atom): -0.659
data_NdHoPt
_cell_length_a 4.6678
_cell_length_b 4.6678
_cell_length_c 4.2891
_cell_angle_alpha 90.00
_cell_angle_beta 90.00
_cell_angle_gamma 120.00
_symmetry_space_group_name_H-M 'P 3 m 1'
_symmetry_Int_Tables_number 156
loop_
_symmetry_equiv_pos_as_xyz
'x,y,z'
'-y,x-y,z'
'-x+y,-x,z'
'-y,-x,z'
'-x+y,y,z'
'x,x-y,z'
loop_
_atom_site_label
_atom_site_type_symbol
_atom_site_fract_x
_atom_site_fract_y
_atom_site_fract_z
_atom_site_occupancy
Nd1 Nd 0.0000 0.0000 0.0000 1
Ho1 Ho 0.6667 0.3333 0.5176 1
Pt1 Pt 0.3333 0.6667 0.3327 1

=====

# LaAlTeI2 (PBE, relaxed)
# Crystal system: tetragonal
# Total magnetic moment (μB/f.u.): 0.458
# Excess energy over the best structure of this formula in the dataset (kJ per mole of atoms): 15.3
# E_tot (Ha/atom): -0.126
# Formation energy from raw total energies (eV per atom): -0.442
data_LaAlTeI2
_cell_length_a 5.527
_cell_length_b 5.527
_cell_length_c 5.563
_cell_angle_alpha 90.00
_cell_angle_beta 90.00
_cell_angle_gamma 90.00
_symmetry_space_group_name_H-M 'P 4/m m m'
_symmetry_Int_Tables_number 123
_symmetry_space_group_name_Hall '-P 4 2'
loop_
_atom_site_label
_atom_site_type_symbol
_atom_site_fract_x
_atom_site_fract_y
_atom_site_fract_z
_atom_site_occupancy
La1 La 0.000 0.000 0.000 1
Al1 Al 0.500 0.500 0.500 1
Te1 Te 0.500 0.500 0.000 1
I1 I 0.000 0.500 0.500 1

=====

# LiFe2Co (PBE, relaxed)
# Crystal system: tetragonal
# Total magnetic moment (μB/f.u.): 6.448
# Excess energy over the best structure of this formula in the dataset (kJ per mole of atoms): 8.2
# E_tot (Ha/atom): -0.231
# Energy relative to the elements (eV per atom): 0.194
data_LiFe2Co
_cell_length_a 2.492
_cell_length_b 2.492
_cell_length_c 7.894
_cell_angle_alpha 90.00
_cell_angle_beta 90.00
_cell_angle_gamma 90.00
_symmetry_space_group_name_H-M 'P 4/m m m'
_symmetry_Int_Tables_number 123
_symmetry_space_group_name_Hall '-P 4 2'
loop_
_atom_site_label
_atom_site_type_symbol
_atom_site_fract_x
_atom_site_fract_y
_atom_site_fract_z
_atom_site_occupancy
Li1 Li 0.000 0.000 0.000 1
Fe1 Fe 0.500 0.500 0.275 1
Co1 Co 0.000 0.000 0.500 1

=====

# Tm5Th2Pb4 (PBE, relaxed)
# Crystal system: orthorhombic
# Total magnetic moment (μB/f.u.): 0.000
# E_tot (Ha/atom): -0.170
# Energy relative to the elements (eV per atom): 0.104
data_Tm5Th2Pb4
_cell_length_a 5.379
_cell_length_b 10.471
_cell_length_c 12.943
_cell_angle_alpha 90.00
_cell_angle_beta 90.00
_cell_angle_gamma 90.00
_symmetry_space_group_name_H-M 'I m m m'
_symmetry_Int_Tables_number 71
_symmetry_space_group_name_Hall '-I 2 2'
loop_
_atom_site_label
_atom_site_type_symbol
_atom_site_fract_x
_atom_site_fract_y
_atom_site_fract_z
_atom_site_occupancy
Tm1 Tm 0.000 0.000 0.000 1
Tm2 Tm 0.000 0.161 0.258 1
Th1 Th 0.000 0.500 0.355 1
Pb1 Pb 0.000 0.239 0.500 1
Pb2 Pb 0.000 0.500 0.116 1

=====

# NaNbCu2 (PBE, relaxed)
# Crystal system: tetragonal
# Total magnetic moment (μB/f.u.): 0.978
# Excess energy over the best structure of this formula in the dataset (kJ per mole of atoms): 37.1
# E_tot (Ha/atom): -0.146
# Energy relative to the elements (eV per atom): 0.916
data_NaNbCu2
_cell_length_a 7.056
_cell_length_b 7.056
_cell_length_c 5.845
_cell_angle_alpha 90.00
_cell_angle_beta 90.00
_cell_angle_gamma 90.00
_symmetry_space_group_name_H-M 'I -4 2 d'
_symmetry_Int_Tables_number 122
_symmetry_space_group_name_Hall 'I -4 2bw'
loop_
_atom_site_label
_atom_site_type_symbol
_atom_site_fract_x
_atom_site_fract_y
_atom_site_fract_z
_atom_site_occupancy
Na1 Na 0.000 0.000 0.000 1
Nb1 Nb 0.000 0.000 0.500 1
Cu1 Cu 0.235 0.250 0.625 1

=====

# Sr2TaNO3 (PBE, relaxed)
# Crystal system: orthorhombic
# Total magnetic moment (μB/f.u.): 0.000
# E_tot (Ha/atom): -0.293
# Formation energy from raw total energies (eV per atom): -2.487
data_Sr2TaNO3
_cell_length_a 4.041
_cell_length_b 4.093
_cell_length_c 12.741
_cell_angle_alpha 90.00
_cell_angle_beta 90.00
_cell_angle_gamma 90.00
_symmetry_space_group_name_H-M 'I m m m'
_symmetry_Int_Tables_number 71
_symmetry_space_group_name_Hall '-I 2 2'
loop_
_atom_site_label
_atom_site_type_symbol
_atom_site_fract_x
_atom_site_fract_y
_atom_site_fract_z
_atom_site_occupancy
Sr1 Sr 0.000 0.000 0.145 1
Ta1 Ta 0.000 0.000 0.500 1
N1 N 0.000 0.500 0.500 1
O1 O 0.000 0.000 0.339 1
O2 O 0.000 0.500 0.000 1

=====

# MnHPd3 (PBE, relaxed)
# Crystal system: tetragonal
# Total magnetic moment (μB/f.u.): 5.042
# Excess energy over the best structure of this formula in the dataset (kJ per mole of atoms): 100.1
# E_tot (Ha/atom): -0.177
data_MnHPd3
_cell_length_a 4.781
_cell_length_b 4.781
_cell_length_c 18.138
_cell_angle_alpha 90.00
_cell_angle_beta 90.00
_cell_angle_gamma 90.00
_symmetry_space_group_name_H-M 'I -4 m 2'
_symmetry_Int_Tables_number 119
_symmetry_space_group_name_Hall 'I -4 -2'
loop_
_atom_site_label
_atom_site_type_symbol
_atom_site_fract_x
_atom_site_fract_y
_atom_site_fract_z
_atom_site_occupancy
Mn1 Mn 0.000 0.000 0.000 1
Mn2 Mn 0.000 0.500 0.250 1
H1 H 0.000 0.500 0.627 1
Pd1 Pd 0.000 0.000 0.367 1
Pd2 Pd 0.000 0.246 0.125 1

=====

# InSn3Pd (PBE, relaxed)
# Crystal system: cubic
# Total magnetic moment (μB/f.u.): 0.000
# Excess energy over the best structure of this formula in the dataset (kJ per mole of atoms): 22.7
# E_tot (Ha/atom): -0.144
# Energy relative to the elements (eV per atom): 0.057
data_InSn3Pd
_cell_length_a 5.256
_cell_length_b 5.256
_cell_length_c 5.256
_cell_angle_alpha 90.00
_cell_angle_beta 90.00
_cell_angle_gamma 90.00
_symmetry_space_group_name_H-M 'P m -3 m'
_symmetry_Int_Tables_number 221
_symmetry_space_group_name_Hall '-P 4 2 3'
loop_
_atom_site_label
_atom_site_type_symbol
_atom_site_fract_x
_atom_site_fract_y
_atom_site_fract_z
_atom_site_occupancy
In1 In 0.000 0.000 0.000 1
Sn1 Sn 0.000 0.500 0.500 1
Pd1 Pd 0.500 0.500 0.500 1

=====

# NaPaSn (PBE, relaxed)
# Crystal system: orthorhombic
# Total magnetic moment (μB/f.u.): 1.365
# E_tot (Ha/atom): -0.175
# Energy relative to the elements (eV per atom): 0.168
data_NaPaSn
_cell_length_a 5.937
_cell_length_b 8.273
_cell_length_c 14.159
_cell_angle_alpha 90.00
_cell_angle_beta 90.00
_cell_angle_gamma 90.00
_symmetry_space_group_name_H-M 'F m m m'
_symmetry_Int_Tables_number 69
_symmetry_space_group_name_Hall '-F 2 2'
loop_
_atom_site_label
_atom_site_type_symbol
_atom_site_fract_x
_atom_site_fract_y
_atom_site_fract_z
_atom_site_occupancy
Na1 Na 0.000 0.168 0.000 1
Pa1 Pa 0.250 0.250 0.250 1
Sn1 Sn 0.000 0.000 0.385 1

=====

# Sm2TcGe2 (PBE, relaxed)
# Crystal system: orthorhombic
# Total magnetic moment (μB/f.u.): 0.000
# Excess energy over the best structure of this formula in the dataset (kJ per mole of atoms): 12.9
# E_tot (Ha/atom): -0.232
# Energy relative to the elements (eV per atom): -0.516
data_Sm2TcGe2
_cell_length_a 6.433
_cell_length_b 12.269
_cell_length_c 6.175
_cell_angle_alpha 90.00
_cell_angle_beta 90.00
_cell_angle_gamma 90.00
_symmetry_space_group_name_H-M 'I b a m'
_symmetry_Int_Tables_number 72
_symmetry_space_group_name_Hall '-I 2 2c'
loop_
_atom_site_label
_atom_site_type_symbol
_atom_site_fract_x
_atom_site_fract_y
_atom_site_fract_z
_atom_site_occupancy
Sm1 Sm 0.201 0.143 0.000 1
Tc1 Tc 0.000 0.500 0.250 1
Ge1 Ge 0.231 0.394 0.000 1

=====

# SrTaBe (PBE, relaxed)
# Crystal system: hexagonal
# Total magnetic moment (μB/f.u.): 0.000
# Excess energy over the best structure of this formula in the dataset (kJ per mole of atoms): 43.5
# E_tot (Ha/atom): -0.171
# Energy relative to the elements (eV per atom): 1.100
data_SrTaBe
_cell_length_a 4.7763
_cell_length_b 4.7763
_cell_length_c 3.2450
_cell_angle_alpha 90.00
_cell_angle_beta 90.00
_cell_angle_gamma 120.00
_symmetry_space_group_name_H-M 'P -6 m 2'
_symmetry_Int_Tables_number 187
_symmetry_space_group_name_Hall 'P -6 2'
loop_
_atom_site_label
_atom_site_type_symbol
_atom_site_fract_x
_atom_site_fract_y
_atom_site_fract_z
_atom_site_occupancy
Sr1 Sr 0.0000 0.0000 0.0000 1
Ta1 Ta 0.6667 0.3333 0.5000 1
Be1 Be 0.3333 0.6667 0.5000 1

=====

# CsH2Br2 (PBE, relaxed)
# Crystal system: monoclinic
# Total magnetic moment (μB/f.u.): 1.001
# E_tot (Ha/atom): -0.104
data_CsH2Br2
_cell_length_a 11.360
_cell_length_b 5.624
_cell_length_c 10.553
_cell_angle_alpha 90.00
_cell_angle_beta 118.09
_cell_angle_gamma 90.00
_symmetry_space_group_name_H-M 'C 1 2/c 1'
_symmetry_Int_Tables_number 15
loop_
_symmetry_equiv_pos_as_xyz
'x,y,z'
'-x,-y,-z'
'-x,y,-z+1/2'
'x,-y,z+1/2'
'x+1/2,y+1/2,z'
'-x+1/2,-y+1/2,-z'
'-x+1/2,y+1/2,-z+1/2'
'x+1/2,-y+1/2,z+1/2'
loop_
_atom_site_label
_atom_site_type_symbol
_atom_site_fract_x
_atom_site_fract_y
_atom_site_fract_z
_atom_site_occupancy
Cs1 Cs 0.000 0.106 0.250 1
H1 H 0.035 0.478 0.012 1
Br1 Br 0.247 0.397 0.885 1

=====

Copy entry 6 word for word.
# Sr2TaNO3 (PBE, relaxed)
# Crystal system: orthorhombic
# Total magnetic moment (μB/f.u.): 0.000
# E_tot (Ha/atom): -0.293
# Formation energy from raw total energies (eV per atom): -2.487
data_Sr2TaNO3
_cell_length_a 4.041
_cell_length_b 4.093
_cell_length_c 12.741
_cell_angle_alpha 90.00
_cell_angle_beta 90.00
_cell_angle_gamma 90.00
_symmetry_space_group_name_H-M 'I m m m'
_symmetry_Int_Tables_number 71
_symmetry_space_group_name_Hall '-I 2 2'
loop_
_atom_site_label
_atom_site_type_symbol
_atom_site_fract_x
_atom_site_fract_y
_atom_site_fract_z
_atom_site_occupancy
Sr1 Sr 0.000 0.000 0.145 1
Ta1 Ta 0.000 0.000 0.500 1
N1 N 0.000 0.500 0.500 1
O1 O 0.000 0.000 0.339 1
O2 O 0.000 0.500 0.000 1

=====

What is the total magnetic moment in the third record? 6.448 μB/f.u.